A relaxed Tc2NiAu crystal, computed with PBE-GGA.

abc: 4.9176 4.9176 4.9176
angles: 135.50 135.51 64.75
Atoms (fractional coordinates):
Ni  0.2500  0.7500  0.5000
Au  0.7500  0.2500  0.5000
Tc  0.5000  0.5000  0.0000
Tc  0.0000  0.0000  0.0000

Computed properties:
The excess energy over the best structure of this formula in the dataset comes out at 109 meV per atom. The magnetization is 0.0 μB/f.u. The space-group type is No. 139. Its density of states at the Fermi level is 1.20 states/eV per atom.